No. 1
Compound: Li3Ni3Ir
Source: Alexandria
Functional: PBE
Structure: optimized geometry

```
Li3Ni3Ir
1.0
3.414 1.971 4.274
-3.414 1.971 4.274
0.000 -3.942 4.274
Li Ni Ir
6 6 2
Direct
0.173 0.610 0.451 Li
0.390 0.549 0.827 Li
0.451 0.173 0.610 Li
0.549 0.827 0.390 Li
0.610 0.451 0.173 Li
0.827 0.390 0.549 Li
0.008 0.325 0.910 Ni
0.090 0.992 0.675 Ni
0.325 0.910 0.008 Ni
0.675 0.090 0.992 Ni
0.910 0.008 0.325 Ni
0.992 0.675 0.090 Ni
0.238 0.238 0.238 Ir
0.762 0.762 0.762 Ir
```

Properties
Energy of formation   0.00 eV/atom
Magnetization   3.76 μB per cell
Space group   R-3

=====

No. 2
Compound: Li2NiIr
Source: Alexandria
Functional: PBE
Structure: optimized geometry

```
Li2NiIr
1.0
1.309 0.756 9.008
-1.309 0.756 9.008
0.000 -1.512 9.008
Li Ni Ir
2 1 1
Direct
0.090 0.090 0.090 Li
0.910 0.910 0.910 Li
0.500 0.500 0.500 Ni
0.000 0.000 0.000 Ir
```

Properties
Energy of formation   0.04 eV/atom
Magnetization   0.30 μB per cell
Space group   R-3m

=====

No. 3
Compound: LiNi2Ir
Source: Alexandria
Functional: PBE
Structure: optimized geometry

```
LiNi2Ir
1.0
4.693 -1.278 0.000
4.693 1.278 0.000
-2.016 0.000 4.020
Li Ni Ir
1 2 1
Direct
0.000 0.000 0.000 Li
0.497 0.497 0.510 Ni
0.756 0.756 0.083 Ni
0.239 0.239 0.570 Ir
```

Properties
Energy of formation   -0.10 eV/atom
Magnetization   0.58 μB per cell
Space group   Cm

=====

No. 4
Compound: LiNi2Ir
Source: Alexandria
Functional: PBE
Structure: optimized geometry

```
LiNi2Ir
1.0
2.915 0.000 0.000
0.000 2.915 0.000
0.000 0.000 5.568
Li Ni Ir
1 2 1
Direct
0.000 0.000 0.000 Li
0.000 0.000 0.469 Ni
0.500 0.500 0.230 Ni
0.500 0.500 0.731 Ir
```

Properties
Energy of formation   0.11 eV/atom
Magnetization   1.68 μB per cell
Space group   P4mm

=====

No. 5
Compound: LiNi6Ir2
Source: Alexandria
Functional: PBE
Structure: optimized geometry

```
LiNi6Ir2
1.0
4.020 -1.756 0.000
4.020 1.756 0.000
-1.270 0.000 7.973
Li Ni Ir
1 6 2
Direct
0.000 0.000 0.000 Li
0.132 0.132 0.601 Ni
0.283 0.283 0.898 Ni
0.434 0.434 0.204 Ni
0.566 0.566 0.796 Ni
0.717 0.717 0.102 Ni
0.868 0.868 0.399 Ni
0.152 0.152 0.304 Ir
0.848 0.848 0.696 Ir
```

Properties
Energy of formation   0.19 eV/atom
Magnetization   1.61 μB per cell
Space group   C2/m

=====

No. 6
Compound: LiNi2Ir
Source: Alexandria
Functional: PBE
Structure: optimized geometry

```
LiNi2Ir
1.0
2.558 0.000 0.000
0.000 3.776 0.000
-0.022 0.000 5.015
Li Ni Ir
1 2 1
Direct
0.000 0.000 0.000 Li
0.499 0.500 0.255 Ni
0.501 0.500 0.745 Ni
0.000 0.000 0.500 Ir
```

Properties
Energy of formation   -0.03 eV/atom
Magnetization   0.00 μB per cell
Space group   P2/m

=====

No. 7
Compound: LiNiIr
Source: Alexandria
Functional: PBE
Structure: optimized geometry

```
LiNiIr
1.0
5.178 0.000 0.000
0.000 2.619 0.000
0.000 0.000 11.234
Li Ni Ir
4 4 4
Direct
0.107 0.250 0.091 Li
0.393 0.750 0.591 Li
0.607 0.250 0.409 Li
0.893 0.750 0.909 Li
0.137 0.250 0.751 Ni
0.363 0.750 0.251 Ni
0.637 0.250 0.749 Ni
0.863 0.750 0.249 Ni
0.099 0.250 0.409 Ir
0.401 0.750 0.909 Ir
0.599 0.250 0.091 Ir
0.901 0.750 0.591 Ir
```

Properties
Energy of formation   -0.13 eV/atom
Magnetization   0.00 μB per cell
Space group   Pnma

=====

No. 8
Compound: Li2NiIr
Source: Alexandria
Functional: PBE
Structure: optimized geometry

```
Li2NiIr
1.0
-3.290 3.290 2.413
3.290 -3.290 2.413
3.290 3.290 -2.413
Li Ni Ir
4 2 2
Direct
0.109 0.625 0.984 Li
0.375 0.359 0.484 Li
0.641 0.125 0.016 Li
0.875 0.891 0.516 Li
0.000 0.000 0.000 Ni
0.750 0.250 0.500 Ni
0.250 0.750 0.500 Ir
0.500 0.500 0.000 Ir
```

Properties
Energy of formation   0.36 eV/atom
Magnetization   2.42 μB per cell
Space group   I-42d

=====

No. 9
Compound: Li6NiIr2
Source: Alexandria
Functional: PBE
Structure: optimized geometry

```
Li6NiIr2
1.0
3.744 2.162 2.418
-3.744 2.162 2.418
0.000 -4.323 2.418
Li Ni Ir
6 1 2
Direct
0.000 0.333 0.667 Li
0.000 0.667 0.333 Li
0.333 0.000 0.667 Li
0.333 0.667 0.000 Li
0.667 0.000 0.333 Li
0.667 0.333 0.000 Li
0.500 0.500 0.500 Ni
0.171 0.171 0.171 Ir
0.829 0.829 0.829 Ir
```

Properties
Energy of formation   -0.12 eV/atom
Magnetization   0.00 μB per cell
Space group   R-3m

=====

No. 10
Compound: Li2NiIr
Source: Alexandria
Functional: PBE
Structure: optimized geometry

```
Li2NiIr
1.0
-1.306 2.198 4.338
1.306 -2.198 4.338
1.306 2.198 -4.338
Li Ni Ir
2 1 1
Direct
0.238 0.238 0.000 Li
0.762 0.762 0.000 Li
0.000 0.500 0.500 Ni
0.500 0.000 0.500 Ir
```

Properties
Energy of formation   -0.16 eV/atom
Magnetization   0.00 μB per cell
Space group   Immm

=====

No. 11
Compound: Li2NiIr
Source: Alexandria
Functional: PBE
Structure: optimized geometry

```
Li2NiIr
1.0
0.000 2.862 2.862
2.862 0.000 2.862
2.862 2.862 0.000
Li Ni Ir
2 1 1
Direct
0.250 0.250 0.250 Li
0.750 0.750 0.750 Li
0.000 0.000 0.000 Ni
0.500 0.500 0.500 Ir
```

Properties
Energy of formation   0.18 eV/atom
Magnetization   0.26 μB per cell
Space group   Fm-3m

=====

No. 12
Compound: LiNi2Ir
Source: Alexandria
Functional: PBE
Structure: optimized geometry

```
LiNi2Ir
1.0
1.341 -2.219 0.000
1.341 2.219 0.000
0.000 0.000 8.640
Li Ni Ir
1 2 1
Direct
0.000 0.000 0.000 Li
0.500 0.500 0.248 Ni
0.500 0.500 0.752 Ni
0.000 0.000 0.500 Ir
```

Properties
Energy of formation   0.17 eV/atom
Magnetization   1.25 μB per cell
Space group   Cmmm

=====

No. 13
Compound: LiNi3Ir
Source: Alexandria
Functional: PBE
Structure: optimized geometry

```
LiNi3Ir
1.0
4.587 0.000 0.000
0.000 4.587 0.000
0.000 0.000 4.587
Li Ni Ir
1 3 1
Direct
0.000 0.000 0.000 Li
0.000 0.500 0.500 Ni
0.500 0.000 0.500 Ni
0.500 0.500 0.000 Ni
0.500 0.500 0.500 Ir
```

Properties
Energy of formation   0.94 eV/atom
Magnetization   3.20 μB per cell
Space group   Pm-3m

=====

No. 14
Compound: Li2NiIr
Source: Alexandria
Functional: PBE
Structure: optimized geometry

```
Li2NiIr
1.0
2.547 0.000 0.000
0.000 2.547 0.000
0.000 0.000 8.033
Li Ni Ir
2 1 1
Direct
0.000 0.000 0.242 Li
0.000 0.000 0.758 Li
0.500 0.500 0.000 Ni
0.500 0.500 0.500 Ir
```

Properties
Energy of formation   0.05 eV/atom
Magnetization   0.18 μB per cell
Space group   P4/mmm

=====

No. 15
Compound: Li2NiIr
Source: Alexandria
Functional: PBE
Structure: optimized geometry

```
Li2NiIr
1.0
1.312 0.758 8.605
-1.312 0.758 8.605
0.000 -1.515 8.605
Li Ni Ir
2 1 1
Direct
0.248 0.248 0.248 Li
0.752 0.752 0.752 Li
0.500 0.500 0.500 Ni
0.000 0.000 0.000 Ir
```

Properties
Energy of formation   -0.12 eV/atom
Magnetization   0.00 μB per cell
Space group   R-3m

=====

No. 16
Compound: Li2NiIr
Source: Alexandria
Functional: PBE
Structure: optimized geometry

```
Li2NiIr
1.0
2.503 0.000 0.000
0.000 4.120 0.000
0.000 0.000 5.018
Li Ni Ir
2 1 1
Direct
0.000 0.000 0.246 Li
0.000 0.000 0.754 Li
0.500 0.500 0.500 Ni
0.500 0.500 0.000 Ir
```

Properties
Energy of formation   0.00 eV/atom
Magnetization   0.23 μB per cell
Space group   Pmmm

=====

No. 17
Compound: LiNi3Ir
Source: Alexandria
Functional: PBE
Structure: optimized geometry

```
LiNi3Ir
1.0
6.661 0.000 0.000
0.000 5.305 0.000
0.000 0.000 6.644
Li Ni Ir
4 12 4
Direct
0.173 0.250 0.171 Li
0.327 0.750 0.671 Li
0.673 0.250 0.329 Li
0.827 0.750 0.829 Li
0.127 0.503 0.875 Ni
0.127 0.997 0.875 Ni
0.171 0.750 0.173 Ni
0.329 0.250 0.673 Ni
0.373 0.003 0.375 Ni
0.373 0.497 0.375 Ni
0.627 0.503 0.625 Ni
0.627 0.997 0.625 Ni
0.671 0.750 0.327 Ni
0.829 0.250 0.827 Ni
0.873 0.003 0.125 Ni
0.873 0.497 0.125 Ni
0.000 0.000 0.500 Ir
0.000 0.500 0.500 Ir
0.500 0.000 0.000 Ir
0.500 0.500 0.000 Ir
```

Properties
Energy of formation   0.16 eV/atom
Magnetization   7.34 μB per cell
Space group   Pnma

=====

No. 18
Compound: LiNi2Ir
Source: Alexandria
Functional: PBE
Structure: optimized geometry

```
LiNi2Ir
1.0
1.358 -2.194 0.000
1.358 2.194 0.000
0.000 0.000 8.524
Li Ni Ir
1 2 1
Direct
0.000 0.000 0.000 Li
0.000 0.000 0.517 Ni
0.500 0.500 0.750 Ni
0.500 0.500 0.262 Ir
```

Properties
Energy of formation   0.10 eV/atom
Magnetization   1.64 μB per cell
Space group   Cmm2

=====

No. 19
Compound: LiNi8Ir2
Source: Alexandria
Functional: PBE
Structure: optimized geometry

```
LiNi8Ir2
1.0
3.687 -4.736 0.000
3.687 4.736 0.000
0.000 0.000 3.950
Li Ni Ir
1 8 2
Direct
0.000 0.000 0.000 Li
0.034 0.298 0.500 Ni
0.234 0.766 0.000 Ni
0.298 0.034 0.500 Ni
0.332 0.332 0.000 Ni
0.668 0.668 0.000 Ni
0.702 0.966 0.500 Ni
0.766 0.234 0.000 Ni
0.966 0.702 0.500 Ni
0.369 0.631 0.500 Ir
0.631 0.369 0.500 Ir
```

Properties
Energy of formation   0.23 eV/atom
Magnetization   3.35 μB per cell
Space group   Cmmm

=====

No. 20
Compound: Li2NiIr
Source: Alexandria
Functional: PBE
Structure: optimized geometry

```
Li2NiIr
1.0
2.666 0.000 0.000
0.000 2.666 0.000
0.000 0.000 7.982
Li Ni Ir
2 1 1
Direct
0.000 0.000 0.000 Li
0.500 0.500 0.321 Li
0.000 0.000 0.546 Ni
0.500 0.500 0.761 Ir
```

Properties
Energy of formation   0.00 eV/atom
Magnetization   0.02 μB per cell
Space group   P4mm